First-principles (PBE+U) data for crystalline In3NiF at its relaxed geometry, as listed in Alexandria via LeMat-Bulk.

Properties
Total moment ... 0.000 μB per formula unit
Symmetry ... No. 221
Density ... 6.126 Mg/m³
Polymorph energy (0 for the lowest one) ... 0.4466 eV per atom

a b c (Å): 4.8549 4.8549 4.8549
angles (deg): 90.00 90.00 90.00
With the nearest neighbours (Å) after each atom.
Atoms (fractional coordinates):
Ni 0.5000 0.5000 0.5000  12 In 3.43
F 0.0000 0.0000 0.0000  6 In 2.43
In 0.0000 0.5000 0.0000  2 F 2.43
In 0.0000 0.0000 0.5000  2 F 2.43
In 0.5000 0.0000 0.0000  2 F 2.43